(1)
A plane-wave DFT calculation with PBE-GGA was carried out for a geometry-optimized NdHI3 structure.

Output
The energy is -3.674 eV per atom. The value obtained for the volume is 48.15 A^3/atom. Its symmetry is No. 13. The total moment comes out at 0.0 μB/f.u. Its crystal system is monoclinic.

Unit cell a=8.3706 b=8.3387 c=14.4835 alpha=90.00 beta=107.73 gamma=90.00
Last column: nearest neighbours and their distance in Å.
Fractional positions:
Nd 0.0000 0.2500 0.0835  6 I 3.13-3.15
Nd 0.0000 0.2500 0.4165  6 I 3.13-3.15
Nd 0.0000 0.7500 0.5835  6 I 3.13-3.15
Nd 0.0000 0.7500 0.9165  6 I 3.13-3.15
H 0.0472 0.2338 0.7577  1 H 0.75
H 0.0472 0.7662 0.2577  1 H 0.75
H 0.9528 0.2338 0.7423  1 H 0.75
H 0.9528 0.7662 0.2423  1 H 0.75
I 0.2522 0.0096 0.0373  2 Nd 3.13-3.15
I 0.2521 0.4888 0.5534  2 Nd 3.13-3.15
I 0.2521 0.5112 0.0534  2 Nd 3.13-3.15
I 0.2522 0.9904 0.5373  2 Nd 3.13-3.15
I 0.2527 0.2502 0.2947  2 Nd 3.14
I 0.2527 0.7498 0.7947  2 Nd 3.14
I 0.7473 0.2502 0.2053  2 Nd 3.14
I 0.7473 0.7498 0.7053  2 Nd 3.14
I 0.7478 0.0096 0.4627  2 Nd 3.13-3.15
I 0.7479 0.4888 0.9466  2 Nd 3.13-3.15
I 0.7479 0.5112 0.4466  2 Nd 3.13-3.15
I 0.7478 0.9904 0.9627  2 Nd 3.13-3.15

---

(2)
A plane-wave DFT calculation with PBE-GGA was carried out for a geometry-optimized TcHgO4F structure.

Output
As for the formation energy from raw total energies: -1.189 eV per atom. The energy is -5.813 eV per atom. The value obtained for the volume is 19.98 A^3/atom. Its symmetry is No. 12. The total moment comes out at 0.0 μB/f.u. Its crystal system is monoclinic.

Unit cell a=6.0997 b=6.0997 c=8.3580 alpha=108.19 beta=108.19 gamma=80.16
Last column: nearest neighbours and their distance in Å.
Fractional positions:
Tc 0.1297 0.1297 0.2794  4 O 1.72-1.79
Tc 0.8703 0.8703 0.7206  4 O 1.72-1.79
Hg 0.2997 0.2997 0.8433  1 F 2.09, 1 O 2.12
Hg 0.7003 0.7003 0.1567  1 F 2.09, 1 O 2.12
O 0.0348 0.3933 0.2339  1 Tc 1.73
O 0.0767 0.0767 0.8543  1 Tc 1.79
O 0.1639 0.1639 0.4984  1 Tc 1.72
O 0.3933 0.0348 0.2339  1 Tc 1.73
O 0.6067 0.9652 0.7661  1 Tc 1.73
O 0.8361 0.8361 0.5016  1 Tc 1.72
O 0.9233 0.9233 0.1457  1 Tc 1.79
O 0.9652 0.6067 0.7661  1 Tc 1.73
F 0.4763 0.4763 0.1566  1 Hg 2.09
F 0.5237 0.5237 0.8434  1 Hg 2.09

---

(3)
A plane-wave DFT calculation with PBE-GGA was carried out for a geometry-optimized BAs2CSe structure.

Output
As for the formation energy from raw total energies: 1.782 eV per atom. The energy is -3.955 eV per atom. The value obtained for the volume is 16.24 A^3/atom. Its symmetry is No. 123. The total moment comes out at 0.0 μB/f.u. Its crystal system is tetragonal.

Unit cell a=4.2762 b=4.2762 c=4.4406 alpha=90.00 beta=90.00 gamma=90.00
Last column: nearest neighbours and their distance in Å.
Fractional positions:
B 0.0000 0.0000 0.0000  4 Se 3.02, 8 As 3.08
As 0.0000 0.5000 0.5000  2 C 2.14
As 0.5000 0.0000 0.5000  2 C 2.14
C 0.5000 0.5000 0.5000  4 As 2.14, 2 Se 2.22
Se 0.5000 0.5000 0.0000  2 C 2.22

---

- Which value of energy does entry 1 give?
  -3.674 eV per atom

---

- Among the records above, which one has the highest volume?
  NdHI3